Mg3InNi: relaxed, PBE-GGA.

abc: 3.042 7.469 8.675
angles: 90.00 89.99 90.01
Sites, in units of the cell vectors:
Mg: 0.091 0.897 0.588
Mg: 0.091 0.327 0.688
Mg: 0.091 0.327 0.088
Mg: 0.091 0.662 0.888
Mg: 0.091 0.897 0.188
Mg: 0.091 0.563 0.388
In: 0.591 0.036 0.888
In: 0.590 0.189 0.388
Ni: 0.590 0.612 0.138
Ni: 0.590 0.612 0.638

Calculated values
SG: No. 51
Energy above the lowest structure with this stoichiometry in meV per atom: 0
E in eV/atom: -2.7525

Mg2InNi2: relaxed, PBE-GGA.

abc: 5.035 5.322 7.483
angles: 104.04 90.00 118.23
Sites, in units of the cell vectors:
Mg: 0.500 0.315 0.152
Mg: 0.184 0.685 0.348
Mg: 0.500 0.685 0.848
Mg: 0.816 0.315 0.652
In: 0.817 0.000 0.250
In: 0.183 0.000 0.750
Ni: 0.710 0.727 0.501
Ni: 0.983 0.273 0.999
Ni: 0.290 0.273 0.499
Ni: 0.017 0.727 0.001

Calculated values
SG: No. 15
E in eV/atom: -3.6547

Mg6InNi2: relaxed, PBE-GGA.

abc: 7.726 7.726 7.726
angles: 102.84 111.06 114.73
Sites, in units of the cell vectors:
Mg: 0.522 0.812 0.709
Mg: 0.478 0.188 0.291
Mg: 0.103 0.812 0.291
Mg: 0.897 0.188 0.709
Mg: 0.790 0.040 0.250
Mg: 0.210 0.960 0.750
Mg: 0.210 0.460 0.250
Mg: 0.790 0.540 0.750
Mg: 0.686 0.336 0.022
Mg: 0.314 0.664 0.978
Mg: 0.314 0.336 0.651
Mg: 0.686 0.664 0.349
In: 0.000 0.500 0.500
In: 0.000 0.000 0.000
Ni: 0.500 0.123 0.623
Ni: 0.500 0.877 0.377
Ni: 0.676 0.676 0.000
Ni: 0.324 0.324 0.000

Calculated values
SG: No. 71
E in eV/atom: -2.7786

no.,DFT formation energy (eV/f.u.)
1,-0.46
2,-0.78
3,-1.14